(1)
# Dy6AgPt2

An optimized crystal structure of Dy6AgPt2 (PBE, Alexandria via LeMat-Bulk).

Lattice parameters (Å, degrees): 8.491 8.491 8.491 112.82 111.04 104.66
Positions (direct):
1 Dy 0.045 0.239 0.806
2 Dy 0.180 0.284 0.464
3 Dy 0.180 0.716 0.895
4 Dy 0.330 0.028 0.698
5 Dy 0.330 0.632 0.302
6 Dy 0.433 0.239 0.194
7 Dy 0.567 0.761 0.806
8 Dy 0.670 0.368 0.698
9 Dy 0.670 0.972 0.302
10 Dy 0.820 0.284 0.105
11 Dy 0.820 0.716 0.536
12 Dy 0.955 0.761 0.194
13 Ag 0.000 0.000 0.000
14 Ag 0.500 0.500 0.000
15 Pt 0.134 0.634 0.500
16 Pt 0.337 0.000 0.337
17 Pt 0.663 0.000 0.663
18 Pt 0.866 0.366 0.500

Values from the calculation:
Calculated total energy, eV per atom: -5.393
Symmetry: Immm (71)
Spin magnetization, μB per cell: 0.00

(2)
# Dy7Ag2Pt2

An optimized crystal structure of Dy7Ag2Pt2 (PBE, Alexandria via LeMat-Bulk).

Lattice parameters (Å, degrees): 6.748 6.748 7.134 90.00 90.00 107.21
Positions (direct):
1 Dy 0.000 0.000 0.000
2 Dy 0.000 0.500 0.258
3 Dy 0.000 0.500 0.742
4 Dy 0.500 0.000 0.258
5 Dy 0.500 0.000 0.742
6 Dy 0.500 0.500 0.252
7 Dy 0.500 0.500 0.748
8 Ag 0.182 0.182 0.500
9 Ag 0.818 0.818 0.500
10 Pt 0.286 0.714 0.000
11 Pt 0.714 0.286 0.000

Values from the calculation:
Calculated total energy, eV per atom: -4.997
Symmetry: Cmmm (65)
Spin magnetization, μB per cell: 0.00